# YAgGe PBE optimized geometry
# Total energy: -15.35 eV/f.u.
# Formation energy: -1.418 eV/f.u.
# SG: Pmmm, No. 47
# D(E_F): 0.492 states/eV/atom
data_YAgGe
_space_group_name_H-M_alt 'P 1'
_space_group_IT_number 1
_cell_length_a 3.718
_cell_length_b 4.465
_cell_length_c 7.810
_cell_angle_alpha 90.00
_cell_angle_beta 90.00
_cell_angle_gamma 90.00
loop_
_space_group_symop_operation_xyz
'x,y,z'
loop_
_atom_site_label
_atom_site_fract_x
_atom_site_fract_y
_atom_site_fract_z
Y1 0.000 0.000 0.000
Y2 0.000 0.500 0.500
Ag1 0.500 0.000 0.328
Ag2 0.500 0.000 0.672
Ge1 0.500 0.500 0.161
Ge2 0.500 0.500 0.839



# YAg2Ge PBE optimized geometry
# Total energy: -17.32 eV/f.u.
# Formation energy: -0.536 eV/f.u.
# SG: I-42d, No. 122
# D(E_F): 0.345 states/eV/atom
data_YAg2Ge
_space_group_name_H-M_alt 'P 1'
_space_group_IT_number 1
_cell_length_a 10.760
_cell_length_b 10.760
_cell_length_c 10.760
_cell_angle_alpha 157.85
_cell_angle_beta 157.85
_cell_angle_gamma 31.53
loop_
_space_group_symop_operation_xyz
'x,y,z'
loop_
_atom_site_label
_atom_site_fract_x
_atom_site_fract_y
_atom_site_fract_z
Y1 0.000 0.000 0.000
Y2 0.750 0.250 0.500
Ag1 0.144 0.625 0.019
Ag2 0.375 0.394 0.519
Ag3 0.606 0.125 0.981
Ag4 0.875 0.856 0.481
Ge1 0.250 0.750 0.500
Ge2 0.500 0.500 0.000



# YAg2Ge PBE optimized geometry
# Total energy: -17.95 eV/f.u.
# Formation energy: -1.167 eV/f.u.
# SG: P4/mmm, No. 123
# D(E_F): 0.728 states/eV/atom
data_YAg2Ge
_space_group_name_H-M_alt 'P 1'
_space_group_IT_number 1
_cell_length_a 4.186
_cell_length_b 4.186
_cell_length_c 4.751
_cell_angle_alpha 90.00
_cell_angle_beta 90.00
_cell_angle_gamma 90.00
loop_
_space_group_symop_operation_xyz
'x,y,z'
loop_
_atom_site_label
_atom_site_fract_x
_atom_site_fract_y
_atom_site_fract_z
Y1 0.000 0.000 0.000
Ag1 0.000 0.500 0.500
Ag2 0.500 0.000 0.500
Ge1 0.500 0.500 0.000



# Yb2AgGe PBE optimized geometry
# Total energy: -12.77 eV/f.u.
# Formation energy: -2.254 eV/f.u.
# SG: Fm-3m, No. 225
# D(E_F): 7.031 states/eV/atom
data_Yb2AgGe
_space_group_name_H-M_alt 'P 1'
_space_group_IT_number 1
_cell_length_a 5.107
_cell_length_b 5.107
_cell_length_c 5.107
_cell_angle_alpha 60.00
_cell_angle_beta 60.00
_cell_angle_gamma 60.00
loop_
_space_group_symop_operation_xyz
'x,y,z'
loop_
_atom_site_label
_atom_site_fract_x
_atom_site_fract_y
_atom_site_fract_z
Yb1 0.250 0.250 0.250
Yb2 0.750 0.750 0.750
Ag1 0.000 0.000 0.000
Ge1 0.500 0.500 0.500



# Zn2AgGe PBE optimized geometry
# Total energy: -9.62 eV/f.u.
# Formation energy: 0.394 eV/f.u.
# SG: R-3m, No. 166
# D(E_F): 0.395 states/eV/atom
data_Zn2AgGe
_space_group_name_H-M_alt 'P 1'
_space_group_IT_number 1
_cell_length_a 8.688
_cell_length_b 8.688
_cell_length_c 8.688
_cell_angle_alpha 20.08
_cell_angle_beta 20.08
_cell_angle_gamma 20.08
loop_
_space_group_symop_operation_xyz
'x,y,z'
loop_
_atom_site_label
_atom_site_fract_x
_atom_site_fract_y
_atom_site_fract_z
Zn1 0.250 0.250 0.250
Zn2 0.750 0.750 0.750
Ag1 0.000 0.000 0.000
Ge1 0.500 0.500 0.500



# ZnAgGe PBE optimized geometry
# Total energy: -8.38 eV/f.u.
# E above lowest polymorph: 0.0 meV per atom
# Formation energy: 0.358 eV/f.u.
# SG: P3m1, No. 156
# D(E_F): 0.293 states/eV/atom
data_ZnAgGe
_space_group_name_H-M_alt 'P 1'
_space_group_IT_number 1
_cell_length_a 3.051
_cell_length_b 3.051
_cell_length_c 6.457
_cell_angle_alpha 90.00
_cell_angle_beta 90.00
_cell_angle_gamma 120.00
loop_
_space_group_symop_operation_xyz
'x,y,z'
loop_
_atom_site_label
_atom_site_fract_x
_atom_site_fract_y
_atom_site_fract_z
Zn1 0.000 0.000 0.000
Ag1 0.333 0.667 0.674
Ge1 0.667 0.333 0.326



# ZnAg2Ge PBE optimized geometry
# Total energy: -10.42 eV/f.u.
# E above lowest polymorph: 205.2 meV per atom
# Formation energy: 1.177 eV/f.u.
# SG: I-42d, No. 122
# D(E_F): 0.325 states/eV/atom
data_ZnAg2Ge
_space_group_name_H-M_alt 'P 1'
_space_group_IT_number 1
_cell_length_a 5.960
_cell_length_b 5.960
_cell_length_c 5.960
_cell_angle_alpha 102.24
_cell_angle_beta 102.24
_cell_angle_gamma 125.18
loop_
_space_group_symop_operation_xyz
'x,y,z'
loop_
_atom_site_label
_atom_site_fract_x
_atom_site_fract_y
_atom_site_fract_z
Zn1 0.000 0.000 0.000
Zn2 0.750 0.250 0.500
Ag1 0.116 0.625 0.991
Ag2 0.375 0.366 0.491
Ag3 0.634 0.125 0.009
Ag4 0.875 0.884 0.509
Ge1 0.250 0.750 0.500
Ge2 0.500 0.500 0.000



# Zn2AgGe2 PBE optimized geometry
# Total energy: -13.59 eV/f.u.
# E above lowest polymorph: 0.0 meV per atom
# Formation energy: 1.042 eV/f.u.
# SG: P4/mbm, No. 127
# D(E_F): 0.371 states/eV/atom
data_Zn2AgGe2
_space_group_name_H-M_alt 'P 1'
_space_group_IT_number 1
_cell_length_a 7.024
_cell_length_b 7.024
_cell_length_c 3.657
_cell_angle_alpha 90.00
_cell_angle_beta 90.00
_cell_angle_gamma 90.00
loop_
_space_group_symop_operation_xyz
'x,y,z'
loop_
_atom_site_label
_atom_site_fract_x
_atom_site_fract_y
_atom_site_fract_z
Zn1 0.132 0.368 0.000
Zn2 0.368 0.868 0.000
Zn3 0.632 0.132 0.000
Zn4 0.868 0.632 0.000
Ag1 0.000 0.000 0.000
Ag2 0.500 0.500 0.000
Ge1 0.169 0.669 0.500
Ge2 0.331 0.169 0.500
Ge3 0.669 0.831 0.500
Ge4 0.831 0.331 0.500